Record 1
! Ce2TmRu (GGA-PBE, optimized geometry); values from VASP
! Space group: Cm (8)
&SYSTEM
  ibrav = 0, nat = 4, ntyp = 3
/
ATOMIC_SPECIES
Ce 140.12 Ce.upf
Tm 168.93 Tm.upf
Ru 101.07 Ru.upf
CELL_PARAMETERS angstrom
3.303 -1.905 0.000
3.303 1.905 0.000
-2.215 0.000 8.813
ATOMIC_POSITIONS crystal
Ce 0.000 0.000 0.000
Ce 0.209 0.209 0.627
Tm 0.438 0.438 0.313
Ru 0.604 0.604 0.812

---

Record 2
! Pm2Pr3Er8 (GGA-PBE, optimized geometry); values from VASP
! Space group: P-1 (2)
&SYSTEM
  ibrav = 0, nat = 13, ntyp = 3
/
ATOMIC_SPECIES
Pm 145.00 Pm.upf
Pr 140.91 Pr.upf
Er 167.26 Er.upf
CELL_PARAMETERS angstrom
6.009 0.000 0.000
-0.594 6.458 0.000
-0.005 -0.015 11.023
ATOMIC_POSITIONS crystal
Pm 0.249 0.323 0.000
Pm 0.751 0.677 0.000
Pr 0.000 0.000 0.500
Pr 0.372 0.733 0.500
Pr 0.628 0.267 0.500
Er 0.234 0.354 0.300
Er 0.236 0.353 0.700
Er 0.248 0.852 0.172
Er 0.249 0.851 0.828
Er 0.751 0.149 0.172
Er 0.752 0.148 0.828
Er 0.764 0.647 0.300
Er 0.766 0.646 0.700

---

Formation enthalpy at 0 K
In order: -0.049; 0.149
Unit: eV/atom